Entry 1:
The following is a DFT calculation (SCAN) of a PBEsol-optimized structure of CrCCl2.

Output
Formation energy (no corrections) = 1.3146 eV per atom
Calculated volume = 56.5 Å³/cell

a b c (Å): 4.306 4.306 4.306
angles (deg): 60.00 60.00 60.00
Fractional coordinates of all 4 atoms:
Cr1 0.000 0.000 0.000
C1 0.500 0.500 0.500
Cl1 0.250 0.250 0.250
Cl2 0.750 0.750 0.750



Entry 2:
The following is a DFT calculation (SCAN) of a PBEsol-optimized structure of IrRuRh2.

Output
Energy relative to the elements = -0.014 eV per atom
ΔE to the lowest computed polymorph = 12 meV per atom
Calculated volume = 54.2 Å³/cell

a b c (Å): 4.636 4.636 4.636
angles (deg): 131.86 131.86 70.46
Fractional coordinates of all 4 atoms:
Ir1 0.000 0.000 0.000
Ru1 0.250 0.750 0.500
Rh1 0.500 0.500 0.000
Rh2 0.750 0.250 0.500